Record 1
Below is crystalline CdAsS at its relaxed geometry, with properties calculated at the PBE level.

Summary:
E_tot in eV per atom: -3.51
Formation energy without anion corrections in kJ per mole of atoms: -27
M_tot in μB per cell: 0.00

Cell lengths 9.199, 9.199, 3.947 Å; angles 100.88, 100.88, 24.05 degrees
Fractional coordinates of all 6 atoms:
1 Cd 0.000 0.000 0.000
2 Cd 0.680 0.680 0.674
3 As 0.335 0.335 0.320
4 As 0.847 0.847 0.918
5 S 0.204 0.204 0.211
6 S 0.535 0.535 0.560

***

Record 2
Below is crystalline SmV2 at its relaxed geometry, with properties calculated at the PBE level.

Summary:
E_tot in eV per atom: -7.24
Energy of formation from the pure elements in eV/atom: 0.412
M_tot in μB per cell: 0.00

Cell lengths 5.409, 5.409, 5.409 Å; angles 60.00, 60.00, 60.00 degrees
Fractional coordinates of all 6 atoms:
1 Sm 0.125 0.125 0.125
2 Sm 0.875 0.875 0.875
3 V 0.000 0.500 0.500
4 V 0.500 0.000 0.500
5 V 0.500 0.500 0.000
6 V 0.500 0.500 0.500